# K2BaGaGe2

K2BaGaGe2 after structural relaxation (PBE-GGA, Alexandria).

Output
ΔE_f = -0.23 eV per atom
Density of states at the Fermi level = 4.4 states/eV/cell
Space group = Pmc2_1
E = -0.218 Ry/atom

CIF file:
```
data_K2BaGaGe2
_chemical_formula_sum 'K4 Ba2 Ga2 Ge4'
_space_group_name_H-M_alt 'P 1'
_space_group_IT_number 1
_space_group_name_Hall 'P 1'
_cell_length_a 4.321
_cell_length_b 9.431
_cell_length_c 9.832
_cell_angle_alpha 90.00
_cell_angle_beta 90.00
_cell_angle_gamma 90.00
loop_
_atom_site_label
_atom_site_type_symbol
_atom_site_fract_x
_atom_site_fract_y
_atom_site_fract_z
_atom_site_occupancy
K1 K 0.000 0.087 0.000 1
K2 K 0.000 0.913 0.500 1
K3 K 0.500 0.165 0.676 1
K4 K 0.500 0.835 0.176 1
Ba1 Ba 0.500 0.466 0.065 1
Ba2 Ba 0.500 0.534 0.565 1
Ga1 Ga 0.000 0.320 0.334 1
Ga2 Ga 0.000 0.680 0.834 1
Ge1 Ge 0.000 0.409 0.808 1
Ge2 Ge 0.000 0.591 0.308 1
Ge3 Ge 0.500 0.175 0.318 1
Ge4 Ge 0.500 0.825 0.818 1
```

---

# Dy2Mn12P7

Dy2Mn12P7 after structural relaxation (PBE-GGA, Alexandria).

Output
ΔE_f = -0.70 eV per atom
Density of states at the Fermi level = 15.8 states/eV/cell
Space group = P-6
E = -0.601 Ry/atom

CIF file:
```
data_Dy2Mn12P7
_chemical_formula_sum 'Dy2 Mn12 P7'
_space_group_name_H-M_alt 'P 1'
_space_group_IT_number 1
_space_group_name_Hall 'P 1'
_cell_length_a 9.287
_cell_length_b 9.287
_cell_length_c 3.602
_cell_angle_alpha 90.00
_cell_angle_beta 90.00
_cell_angle_gamma 120.00
loop_
_atom_site_label
_atom_site_type_symbol
_atom_site_fract_x
_atom_site_fract_y
_atom_site_fract_z
_atom_site_occupancy
Dy1 Dy 0.000 0.000 0.000 1
Dy2 Dy 0.333 0.667 0.500 1
Mn1 Mn 0.042 0.285 0.500 1
Mn2 Mn 0.105 0.727 0.000 1
Mn3 Mn 0.243 0.958 0.500 1
Mn4 Mn 0.273 0.378 0.000 1
Mn5 Mn 0.439 0.210 0.000 1
Mn6 Mn 0.510 0.452 0.500 1
Mn7 Mn 0.548 0.057 0.500 1
Mn8 Mn 0.622 0.895 0.000 1
Mn9 Mn 0.715 0.757 0.500 1
Mn10 Mn 0.770 0.561 0.000 1
Mn11 Mn 0.790 0.230 0.000 1
Mn12 Mn 0.943 0.490 0.500 1
P1 P 0.074 0.461 0.000 1
P2 P 0.255 0.214 0.500 1
P3 P 0.387 0.926 0.000 1
P4 P 0.539 0.613 0.000 1
P5 P 0.667 0.333 0.500 1
P6 P 0.786 0.042 0.500 1
P7 P 0.958 0.745 0.500 1
```

---

# ScTcHg2Te

ScTcHg2Te after structural relaxation (PBE-GGA, Alexandria).

Output
Density of states at the Fermi level = 5.2 states/eV/cell
E_form (uncorrected) = 1032.9 meV/atom
Space group = P4/mmm
E = -0.225 Ry/atom

CIF file:
```
data_ScTcHg2Te
_chemical_formula_sum 'Sc1 Tc1 Hg2 Te1'
_space_group_name_H-M_alt 'P 1'
_space_group_IT_number 1
_space_group_name_Hall 'P 1'
_cell_length_a 5.478
_cell_length_b 5.478
_cell_length_c 4.932
_cell_angle_alpha 90.00
_cell_angle_beta 90.00
_cell_angle_gamma 90.00
loop_
_atom_site_label
_atom_site_type_symbol
_atom_site_fract_x
_atom_site_fract_y
_atom_site_fract_z
_atom_site_occupancy
Sc1 Sc 0.000 0.000 0.000 1
Tc1 Tc 0.500 0.500 0.000 1
Hg1 Hg 0.000 0.500 0.500 1
Hg2 Hg 0.500 0.000 0.500 1
Te1 Te 0.500 0.500 0.500 1
```

---

# Nd2BN3

Nd2BN3 after structural relaxation (PBE-GGA, Alexandria).

Output
Density of states at the Fermi level = 0.6 states/eV/cell
E_form (uncorrected) = -813.8 meV/atom
Space group = Immm
E = -0.564 Ry/atom

CIF file:
```
data_Nd2BN3
_chemical_formula_sum 'Nd2 B1 N3'
_space_group_name_H-M_alt 'P 1'
_space_group_IT_number 1
_space_group_name_Hall 'P 1'
_cell_length_a 6.209
_cell_length_b 6.209
_cell_length_c 6.209
_cell_angle_alpha 147.58
_cell_angle_beta 139.05
_cell_angle_gamma 53.17
loop_
_atom_site_label
_atom_site_type_symbol
_atom_site_fract_x
_atom_site_fract_y
_atom_site_fract_z
_atom_site_occupancy
Nd1 Nd 0.146 0.146 0.000 1
Nd2 Nd 0.854 0.854 0.000 1
B1 B 0.500 0.500 0.000 1
N1 N 0.000 0.500 0.500 1
N2 N 0.370 0.370 0.000 1
N3 N 0.630 0.630 0.000 1
```

---

> Look up the E of the first one.

-0.218 Ry/atom

---

> Which of these has the highest E?

K2BaGaGe2